Sn2AuO, optimized geometry, DFT PBE; crystal system = tetragonal; VASP energy = -4.5231 eV per atom; density of states at the Fermi level = 0.8 states/eV/f.u.; space-group type = I-42d (122); V = 23.7 Å³/atom; magnetization = 0.00 μB/cell
1.0
5.5798 0.0000 0.0000
0.0000 5.5798 0.0000
0.0000 0.0000 12.1714
Sn Au O
8 4 4
Direct
0.1821 0.2500 0.1250
0.2500 0.6821 0.3750
0.2500 0.8179 0.8750
0.3179 0.2500 0.6250
0.6821 0.7500 0.6250
0.7500 0.1821 0.8750
0.7500 0.3179 0.3750
0.8179 0.7500 0.1250
0.0000 0.0000 0.5000
0.0000 0.5000 0.7500
0.5000 0.0000 0.2500
0.5000 0.5000 0.0000
0.0000 0.0000 0.0000
0.0000 0.5000 0.2500
0.5000 0.0000 0.7500
0.5000 0.5000 0.5000

***

SnAuO3, optimized geometry, DFT PBE; crystal system = cubic; VASP energy = -4.8130 eV per atom; density of states at the Fermi level = 6.2 states/eV/f.u.; space-group type = Pm-3m (221); V = 13.2 Å³/atom; magnetization = 1.00 μB/cell
1.0
4.0407 0.0000 0.0000
0.0000 4.0407 0.0000
0.0000 0.0000 4.0407
Sn Au O
1 1 3
Direct
0.0000 0.0000 0.0000
0.5000 0.5000 0.5000
0.0000 0.0000 0.5000
0.0000 0.5000 0.0000
0.5000 0.0000 0.0000

***

Sr2SnAuO5, optimized geometry, DFT PBE; crystal system = orthorhombic; VASP energy = -5.6401 eV per atom; density of states at the Fermi level = 1.9 states/eV/f.u.; space-group type = Cmc2_1 (36); V = 15.1 Å³/atom; magnetization = 0.00 μB/cell
1.0
1.6535 -7.8988 0.0000
1.6535 7.8988 0.0000
0.0000 0.0000 10.3723
Sr Sn Au O
4 2 2 10
Direct
0.1140 0.8860 0.5000
0.1271 0.8729 0.1166
0.8729 0.1271 0.6166
0.8860 0.1140 0.0000
0.2219 0.7781 0.8253
0.7781 0.2219 0.3253
0.4601 0.5399 0.2642
0.5399 0.4601 0.7642
0.0892 0.9108 0.8718
0.2774 0.7226 0.4616
0.2906 0.7094 0.1916
0.3517 0.6483 0.8170
0.4959 0.5041 0.5781
0.5041 0.4959 0.0781
0.6483 0.3517 0.3170
0.7094 0.2906 0.6916
0.7226 0.2774 0.9616
0.9108 0.0892 0.3718

***

Sr6Sn2AuO, optimized geometry, DFT PBE; crystal system = orthorhombic; VASP energy = -3.5236 eV per atom; density of states at the Fermi level = 5.9 states/eV/f.u.; space-group type = Pmmn (59); V = 33.9 Å³/atom; magnetization = 0.00 μB/cell
1.0
7.8281 0.0000 0.0000
0.0000 11.0672 0.0000
0.0000 0.0000 7.8232
Sr Sn Au O
12 4 2 2
Direct
0.0163 0.2500 0.0175
0.0168 0.2500 0.4840
0.2500 0.0168 0.2506
0.2500 0.4832 0.2506
0.4832 0.2500 0.4840
0.4837 0.2500 0.0175
0.5163 0.7500 0.9825
0.5168 0.7500 0.5160
0.7500 0.5168 0.7494
0.7500 0.9832 0.7494
0.9832 0.7500 0.5160
0.9837 0.7500 0.9825
0.2500 0.5007 0.7498
0.2500 0.9993 0.7498
0.7500 0.0007 0.2502
0.7500 0.4993 0.2502
0.2500 0.7500 0.2495
0.7500 0.2500 0.7505
0.2500 0.2500 0.2504
0.7500 0.7500 0.7496

***

Tc2SnAuO, optimized geometry, DFT PBE; crystal system = tetragonal; ΔE to the lowest computed polymorph = 0.0000 eV/atom; density of states at the Fermi level = 4.4 states/eV/f.u.; space-group type = P4/mmm (123); V = 27.6 Å³/atom; magnetization = 8.85 μB/cell
1.0
5.1998 0.0000 0.0000
0.0000 5.1998 0.0000
0.0000 0.0000 5.1042
Tc Sn Au O
2 1 1 1
Direct
0.0000 0.5000 0.0000
0.5000 0.0000 0.0000
0.0000 0.0000 0.5000
0.0000 0.0000 0.0000
0.5000 0.5000 0.5000

***

Tc2SnAuO, optimized geometry, DFT PBE; crystal system = tetragonal; ΔE to the lowest computed polymorph = 0.0885 eV/atom; density of states at the Fermi level = 5.5 states/eV/f.u.; space-group type = P4/mmm (123); V = 27.3 Å³/atom; magnetization = 7.94 μB/cell
1.0
5.1887 0.0000 0.0000
0.0000 5.1887 0.0000
0.0000 0.0000 5.0741
Tc Sn Au O
2 1 1 1
Direct
0.0000 0.5000 0.0000
0.5000 0.0000 0.0000
0.0000 0.0000 0.0000
0.0000 0.0000 0.5000
0.5000 0.5000 0.5000